Below is a relaxed BaInAgSe3 crystal, with properties calculated at the GGA-PBE level.

abc: 7.2311 7.2311 8.5597
angles: 109.61 109.61 69.03
Fractional coordinates of all 12 atoms:
Ba1 0.2034 0.2034 0.1797
Ba2 0.7966 0.7966 0.8203
In1 0.4314 0.4314 0.7628
In2 0.5686 0.5686 0.2372
Ag1 0.1991 0.8009 0.5000
Ag2 0.8009 0.1991 0.5000
Se1 0.1783 0.6864 0.1732
Se2 0.2100 0.2100 0.5598
Se3 0.3136 0.8217 0.8268
Se4 0.6864 0.1783 0.1732
Se5 0.7900 0.7900 0.4402
Se6 0.8217 0.3136 0.8268

Raw formation energy (kJ/mol of atoms): -77.8
Space-group type: No. 12
E (eV/atom): -3.80

---

Below is a relaxed Zr2TlGa crystal, with properties calculated at the GGA-PBE level.

abc: 9.5191 9.5191 9.5191
angles: 20.04 20.04 20.04
Fractional coordinates of all 4 atoms:
Zr1 0.2433 0.2433 0.2433
Zr2 0.7567 0.7567 0.7567
Tl1 0.0000 0.0000 0.0000
Ga1 0.5000 0.5000 0.5000

Space-group type: No. 166
Energy of formation (eV per formula unit): -0.57
E (eV/atom): -5.77
Polymorph energy (0 for the lowest one) (meV per atom): 181

---

Below is a relaxed DyZnCrC crystal, with properties calculated at the GGA-PBE level.

abc: 3.3626 3.3626 10.6632
angles: 90.00 90.00 90.00
Fractional coordinates of all 8 atoms:
Dy1 0.2500 0.2500 0.2362
Dy2 0.7500 0.7500 0.7638
Zn1 0.2500 0.7500 0.5000
Zn2 0.7500 0.2500 0.5000
Cr1 0.2500 0.7500 0.0000
Cr2 0.7500 0.2500 0.0000
C1 0.2500 0.2500 0.8766
C2 0.7500 0.7500 0.1234

Space-group type: No. 129
Energy of formation (eV per formula unit): -0.50
E (eV/atom): -6.31

---

- Which formula does entry 3 have?
  DyZnCrC

---

- Which of these has the highest E?
  BaInAgSe3

---

- Among the records above, which one has the highest E?
  BaInAgSe3

---

Copy entry 1 word for word.
Below is a relaxed BaInAgSe3 crystal, with properties calculated at the GGA-PBE level.

abc: 7.2311 7.2311 8.5597
angles: 109.61 109.61 69.03
Fractional coordinates of all 12 atoms:
Ba1 0.2034 0.2034 0.1797
Ba2 0.7966 0.7966 0.8203
In1 0.4314 0.4314 0.7628
In2 0.5686 0.5686 0.2372
Ag1 0.1991 0.8009 0.5000
Ag2 0.8009 0.1991 0.5000
Se1 0.1783 0.6864 0.1732
Se2 0.2100 0.2100 0.5598
Se3 0.3136 0.8217 0.8268
Se4 0.6864 0.1783 0.1732
Se5 0.7900 0.7900 0.4402
Se6 0.8217 0.3136 0.8268

Raw formation energy (kJ/mol of atoms): -77.8
Space-group type: No. 12
E (eV/atom): -3.80